DFT (PBE-GGA) results for crystalline YBeS at its relaxed geometry.

CIF file:
```
data_YBeS
_symmetry_space_group_name_H-M 'P 1'
_symmetry_Int_Tables_number 1
_cell_length_a 7.6357
_cell_length_b 7.6357
_cell_length_c 7.6357
_cell_angle_alpha 33.52
_cell_angle_beta 33.52
_cell_angle_gamma 33.52
loop_
_symmetry_equiv_pos_as_xyz
'x,y,z'
loop_
_atom_site_label
_atom_site_type_symbol
_atom_site_fract_x
_atom_site_fract_y
_atom_site_fract_z
Y1 Y 0.0786 0.0786 0.0786
Y2 Y 0.9214 0.9214 0.9214
Be1 Be 0.3229 0.3229 0.3229
Be2 Be 0.6771 0.6771 0.6771
S1 S 0.2194 0.2194 0.2194
S2 S 0.7806 0.7806 0.7806
```

The uncorrected formation energy comes out at -1.00 eV/atom. The total energy comes out at -0.2122 hartree per atom. Its space group is No. 166. Its crystal system is trigonal.